KB2Ru2 | PBE | relaxed

a = 6.9906 Å, b = 6.9906 Å, c = 2.8684 Å
α = 90.00°, β = 90.00°, γ = 90.00°
Atoms (fractional coordinates):
1 Ru 0.1364 0.6364 0.5000
2 B 0.0963 0.4037 0.0000
3 B 0.9037 0.5963 0.0000
4 B 0.5963 0.0963 0.0000
5 B 0.4037 0.9037 0.0000
6 Ru 0.6364 0.8636 0.5000
7 K 0.5000 0.5000 0.0000
8 Ru 0.8636 0.3636 0.5000
9 Ru 0.3636 0.1364 0.5000
10 K 0.0000 0.0000 0.0000

Calculated values
DFT formation energy: 0.636 eV per atom
Energy: -59.644 eV per cell
ΔE to the lowest computed polymorph: 312 kJ/mol of formula units
Calculated volume: 14.017 Å³ per atom